Sr2NbCd: relaxed, PBE-GGA.

Space group: F-43m (216)
Total moment: 3.03 μB per cell
Electronic total energy: -2.98 eV per atom

Cell lengths 5.5236, 5.5236, 5.5236 Å; angles 60.00, 60.00, 60.00 degrees
Closest atoms and distances in Å follow each position.
Atoms (fractional coordinates):
Cd 0.5000 0.5000 0.5000  4 Nb 3.38, 4 Sr 3.38
Nb 0.7500 0.7500 0.7500  4 Cd 3.38, 4 Sr 3.38
Sr 0.0000 0.0000 0.0000  4 Nb 3.38, 4 Sr 3.38
Sr 0.2500 0.2500 0.2500  4 Cd 3.38, 4 Sr 3.38